Computed, not measured: crystalline CaMg3Ag at its relaxed geometry at the GGA-PBE level of DFT.

Structure (POSCAR):
```
CaMg3Ag
1.0
7.120 0.000 0.000
-3.560 6.166 0.000
0.000 0.000 5.822
Ca Mg Ag
2 6 2
Cartesian
0.000 4.111 1.455
3.560 2.055 4.366
0.000 2.328 4.366
-1.544 5.002 4.366
2.016 1.164 1.455
1.544 5.002 4.366
5.104 1.164 1.455
3.560 3.838 1.455
0.000 0.000 0.000
0.000 0.000 2.911
```

Properties
Calculated total energy ... -2.0024 eV/atom